A plane-wave DFT calculation with PBE-GGA was carried out for crystalline KSrSb2 at its relaxed geometry.

Cell lengths 4.1824, 4.1824, 9.5547 Å; angles 90.00, 90.00, 90.00 degrees
Fractional coordinates of all 4 atoms:
1 K 0.0000 0.0000 0.0000
2 Sr 0.5000 0.5000 0.6009
3 Sb 0.0000 0.0000 0.3701
4 Sb 0.5000 0.5000 0.2644

Properties
Formation energy (no corrections) = -0.276 eV per atom
Electronic total energy = -12.1 eV per cell
D(E_F) = 2.58 states/eV/f.u.
Mass density = 3.7 g/cm³
Space-group type = P4mm
E above lowest polymorph = 376 meV per atom


A plane-wave DFT calculation with PBE-GGA was carried out for crystalline KSrSb at its relaxed geometry.

Cell lengths 6.1666, 6.1642, 4.6208 Å; angles 68.02, 67.96, 44.02 degrees
Fractional coordinates of all 3 atoms:
1 K 0.0000 0.0000 0.0000
2 Sr 0.6995 0.6995 0.3005
3 Sb 0.3276 0.3276 0.6724

Properties
Formation energy (no corrections) = -0.531 eV per atom
Electronic total energy = -8.5 eV per cell
D(E_F) = 0.53 states/eV/f.u.
Mass density = 3.7 g/cm³
Space-group type = Fmm2


A plane-wave DFT calculation with PBE-GGA was carried out for crystalline KSrSb2 at its relaxed geometry.

Cell lengths 7.3403, 7.3403, 7.3403 Å; angles 101.65, 101.65, 126.60 degrees
Fractional coordinates of all 8 atoms:
1 K 0.0000 0.0000 0.0000
2 K 0.7500 0.2500 0.5000
3 Sr 0.2500 0.7500 0.5000
4 Sr 0.5000 0.5000 0.0000
5 Sb 0.1329 0.6250 0.0079
6 Sb 0.3750 0.3829 0.5079
7 Sb 0.6171 0.1250 0.9921
8 Sb 0.8750 0.8671 0.4921

Properties
Formation energy (no corrections) = -0.310 eV per atom
Electronic total energy = -24.5 eV per cell
D(E_F) = 5.29 states/eV/f.u.
Mass density = 4.3 g/cm³
Space-group type = I-42d
E above lowest polymorph = 342 meV per atom


A plane-wave DFT calculation with PBE-GGA was carried out for crystalline KSrSb2 at its relaxed geometry.

Cell lengths 10.7346, 10.7346, 10.7346 Å; angles 21.35, 21.35, 21.35 degrees
Fractional coordinates of all 4 atoms:
1 K 0.0000 0.0000 0.0000
2 Sr 0.5000 0.5000 0.5000
3 Sb 0.2460 0.2460 0.2460
4 Sb 0.7540 0.7540 0.7540

Properties
Formation energy (no corrections) = -0.381 eV per atom
Electronic total energy = -12.5 eV per cell
D(E_F) = 1.87 states/eV/f.u.
Mass density = 4.3 g/cm³
Space-group type = R-3m
E above lowest polymorph = 271 meV per atom


A plane-wave DFT calculation with PBE-GGA was carried out for crystalline KSrSb2 at its relaxed geometry.

Cell lengths 6.1142, 6.0642, 5.1373 Å; angles 65.56, 64.54, 49.90 degrees
Fractional coordinates of all 4 atoms:
1 K 0.0000 0.0000 0.0000
2 Sr 0.5000 0.5000 0.5000
3 Sb 0.2500 0.2500 0.2500
4 Sb 0.7500 0.7500 0.7500

Properties
Formation energy (no corrections) = -0.566 eV per atom
Electronic total energy = -13.3 eV per cell
D(E_F) = 1.05 states/eV/f.u.
Mass density = 4.8 g/cm³
Space-group type = Fmmm
E above lowest polymorph = 86 meV per atom


A plane-wave DFT calculation with PBE-GGA was carried out for crystalline KSr2Sb2 at its relaxed geometry.

Cell lengths 7.5369, 7.5369, 7.5369 Å; angles 131.14, 131.14, 71.59 degrees
Fractional coordinates of all 5 atoms:
1 K 0.0000 0.0000 0.0000
2 Sr 0.3182 0.3182 0.0000
3 Sr 0.6818 0.6818 0.0000
4 Sb 0.2500 0.7500 0.5000
5 Sb 0.7500 0.2500 0.5000

Properties
Formation energy (no corrections) = -0.506 eV per atom
Electronic total energy = -15.2 eV per cell
D(E_F) = 2.88 states/eV/f.u.
Mass density = 3.2 g/cm³
Space-group type = I4/mmm
E above lowest polymorph = 300 meV per atom


A plane-wave DFT calculation with PBE-GGA was carried out for crystalline KSrSb2 at its relaxed geometry.

Cell lengths 6.0754, 6.0754, 3.6587 Å; angles 90.00, 90.00, 106.18 degrees
Fractional coordinates of all 4 atoms:
1 K 0.0000 0.0000 0.0000
2 Sr 0.5000 0.5000 0.0000
3 Sb 0.0000 0.5000 0.5000
4 Sb 0.5000 0.0000 0.5000

Properties
Formation energy (no corrections) = -0.555 eV per atom
Electronic total energy = -13.2 eV per cell
D(E_F) = 1.50 states/eV/f.u.
Mass density = 4.7 g/cm³
Space-group type = Cmmm
E above lowest polymorph = 97 meV per atom


A plane-wave DFT calculation with PBE-GGA was carried out for crystalline KSrSb2 at its relaxed geometry.

Cell lengths 4.5980, 4.5980, 7.0362 Å; angles 90.00, 90.00, 90.00 degrees
Fractional coordinates of all 4 atoms:
1 K 0.0000 0.0000 0.0000
2 Sr 0.5000 0.5000 0.6460
3 Sb 0.0000 0.0000 0.4879
4 Sb 0.5000 0.5000 0.1966

Properties
Formation energy (no corrections) = -0.188 eV per atom
Electronic total energy = -11.8 eV per cell
D(E_F) = 5.71 states/eV/f.u.
Mass density = 4.1 g/cm³
Space-group type = P4mm
E above lowest polymorph = 464 meV per atom


A plane-wave DFT calculation with PBE-GGA was carried out for crystalline K4SrSb at its relaxed geometry.

Cell lengths 7.4832, 7.4832, 7.4832 Å; angles 60.00, 60.00, 60.00 degrees
Fractional coordinates of all 6 atoms:
1 K 0.3772 0.3772 0.3772
2 K 0.3772 0.3772 0.8685
3 K 0.3772 0.8685 0.3772
4 K 0.8685 0.3772 0.3772
5 Sr 0.0000 0.0000 0.0000
6 Sb 0.7500 0.7500 0.7500

Properties
Formation energy (no corrections) = 0.153 eV per atom
Electronic total energy = -9.3 eV per cell
D(E_F) = 5.84 states/eV/f.u.
Mass density = 2.0 g/cm³
Space-group type = F-43m


A plane-wave DFT calculation with PBE-GGA was carried out for crystalline KSrSb at its relaxed geometry.

Cell lengths 5.8634, 5.8634, 7.2323 Å; angles 90.00, 90.00, 120.00 degrees
Fractional coordinates of all 6 atoms:
1 K 0.0000 0.0000 0.0000
2 K 0.0000 0.0000 0.5000
3 Sr 0.3333 0.6667 0.2500
4 Sr 0.6667 0.3333 0.7500
5 Sb 0.3333 0.6667 0.7500
6 Sb 0.6667 0.3333 0.2500

Properties
Formation energy (no corrections) = -0.776 eV per atom
Electronic total energy = -18.5 eV per cell
D(E_F) = 0.00 states/eV/f.u.
Mass density = 3.8 g/cm³
Space-group type = P6_3/mmc


A plane-wave DFT calculation with PBE-GGA was carried out for crystalline KSrSb2 at its relaxed geometry.

Cell lengths 4.2938, 4.5855, 7.5171 Å; angles 90.00, 90.25, 90.00 degrees
Fractional coordinates of all 4 atoms:
1 K 0.0000 0.0000 0.0000
2 Sr 0.0000 0.0000 0.5000
3 Sb 0.4985 0.5000 0.3100
4 Sb 0.5015 0.5000 0.6900

Properties
Formation energy (no corrections) = -0.652 eV per atom
Electronic total energy = -13.6 eV per cell
D(E_F) = 1.51 states/eV/f.u.
Mass density = 4.2 g/cm³
Space-group type = P2/m
E above lowest polymorph = 0 meV per atom


A plane-wave DFT calculation with PBE-GGA was carried out for crystalline KSrSb2 at its relaxed geometry.

Cell lengths 3.3589, 6.0994, 6.8864 Å; angles 90.00, 90.00, 90.00 degrees
Fractional coordinates of all 4 atoms:
1 K 0.0000 0.0000 0.0000
2 Sr 0.5000 0.5000 0.5000
3 Sb 0.0000 0.0000 0.5000
4 Sb 0.5000 0.5000 0.0000

Properties
Formation energy (no corrections) = -0.355 eV per atom
Electronic total energy = -12.4 eV per cell
D(E_F) = 2.95 states/eV/f.u.
Mass density = 4.4 g/cm³
Space-group type = Pmmm
E above lowest polymorph = 297 meV per atom


A plane-wave DFT calculation with PBE-GGA was carried out for crystalline KSrSb2 at its relaxed geometry.

Cell lengths 5.8432, 5.8432, 7.2440 Å; angles 108.59, 108.59, 43.67 degrees
Fractional coordinates of all 4 atoms:
1 K 0.0000 0.0000 0.0000
2 Sr 0.5000 0.5000 0.5000
3 Sb 0.2510 0.2510 0.6628
4 Sb 0.7490 0.7490 0.3372

Properties
Formation energy (no corrections) = -0.497 eV per atom
Electronic total energy = -13.0 eV per cell
D(E_F) = 1.53 states/eV/f.u.
Mass density = 3.8 g/cm³
Space-group type = C2/m
E above lowest polymorph = 155 meV per atom


A plane-wave DFT calculation with PBE-GGA was carried out for crystalline KSrSb2 at its relaxed geometry.

Cell lengths 8.7869, 8.7869, 8.7869 Å; angles 34.59, 34.59, 34.59 degrees
Fractional coordinates of all 4 atoms:
1 K 0.0000 0.0000 0.0000
2 Sr 0.1683 0.1683 0.1683
3 Sb 0.4419 0.4419 0.4419
4 Sb 0.7513 0.7513 0.7513

Properties
Formation energy (no corrections) = -0.297 eV per atom
Electronic total energy = -12.2 eV per cell
D(E_F) = 2.04 states/eV/f.u.
Mass density = 3.2 g/cm³
Space-group type = R3m
E above lowest polymorph = 355 meV per atom